[1]
The following is a GGA-PBE calculation of crystalline La2CuSi4Au3 at its relaxed geometry, from the Alexandria database.

- SG: P-4m2, No. 115
- D(E_F): 2.2 states/eV/f.u.

Cell lengths 4.3512, 4.3512, 10.2767 Å; angles 90.00, 90.00, 90.00 degrees
Last column: nearest neighbours and their distance in Å.
Fractional coordinates of all 10 atoms:
Si (0.5000, 0.5000, 0.0000)  4 Au 2.54
Si (0.0000, 0.5000, 0.3723)  3 Au 2.51-2.54, 2 Cu 2.54
Si (0.5000, 0.0000, 0.6277)  3 Au 2.51-2.54, 2 Cu 2.54
Si (0.0000, 0.0000, 0.0000)  4 Au 2.54
Au (0.0000, 0.5000, 0.1278)  5 Si 2.51-2.54
Au (0.5000, 0.0000, 0.8722)  5 Si 2.51-2.54
Au (0.0000, 0.0000, 0.5000)  4 Si 2.54
La (0.5000, 0.0000, 0.2537)  8 Si 3.31-3.40, 6 Au 3.34, 2 Cu 3.34
La (0.0000, 0.5000, 0.7463)  8 Si 3.31-3.40, 2 Cu 3.34, 6 Au 3.34
Cu (0.5000, 0.5000, 0.5000)  4 Si 2.54

---

[2]
The following is a GGA-PBE calculation of crystalline La7Er4Tm at its relaxed geometry, from the Alexandria database.

- SG: P-1, No. 2
- D(E_F): 18.6 states/eV/f.u.
- Formation energy: 19 meV per atom

Cell lengths 7.3237, 9.7135, 9.0497 Å; angles 81.18, 89.97, 41.16 degrees
Last column: nearest neighbours and their distance in Å.
Fractional coordinates of all 12 atoms:
La (0.2206, 0.7807, 0.6671)  1 Tm 3.61, 6 La 3.61-3.67, 5 Er 3.65-3.73
La (0.9661, 0.2823, 0.6643)  6 Er 3.59-3.71, 5 La 3.62-3.67, 1 Tm 3.64
La (0.5000, 0.0000, 0.0000)  4 Er 3.59-3.64, 6 La 3.65-3.68, 2 Tm 3.66
La (0.0339, 0.7177, 0.3357)  6 Er 3.59-3.71, 5 La 3.62-3.67, 1 Tm 3.64
La (0.2470, 0.5006, 0.9956)  3 Er 3.58-3.67, 7 La 3.61-3.70, 2 Tm 3.69-3.70
La (0.7794, 0.2193, 0.3329)  1 Tm 3.61, 6 La 3.61-3.67, 5 Er 3.65-3.73
La (0.7530, 0.4994, 0.0044)  3 Er 3.58-3.67, 7 La 3.61-3.70, 2 Tm 3.69-3.70
Er (0.7200, 0.7808, 0.6630)  4 Er 3.57-3.68, 8 La 3.59-3.71
Er (0.5308, 0.7238, 0.3316)  8 La 3.58-3.73, 3 Er 3.59-3.68, 1 Tm 3.63
Er (0.2800, 0.2192, 0.3370)  4 Er 3.57-3.68, 8 La 3.59-3.71
Er (0.4692, 0.2762, 0.6684)  8 La 3.58-3.73, 3 Er 3.59-3.68, 1 Tm 3.63
Tm (0.0000, 0.0000, 0.0000)  10 La 3.61-3.70, 2 Er 3.63

---

[3]
The following is a GGA-PBE calculation of crystalline Tl3PdW at its relaxed geometry, from the Alexandria database.

- SG: Pm-3m, No. 221
- D(E_F): 3.0 states/eV/f.u.
- Formation energy: 1211 meV per atom
- Polymorph energy (0 for the lowest one): 113.2 meV per atom

Cell lengths 5.2849, 5.2849, 5.2849 Å; angles 90.00, 90.00, 90.00 degrees
Last column: nearest neighbours and their distance in Å.
Fractional coordinates of all 5 atoms:
Tl (0.0000, 0.5000, 0.0000)  2 Pd 2.64
Tl (0.5000, 0.0000, 0.0000)  2 Pd 2.64
Tl (0.0000, 0.0000, 0.5000)  2 Pd 2.64
Pd (0.0000, 0.0000, 0.0000)  6 Tl 2.64
W (0.5000, 0.5000, 0.5000)  12 Tl 3.74

---

[4]
The following is a GGA-PBE calculation of crystalline RbLuPb2 at its relaxed geometry, from the Alexandria database.

- SG: R-3m, No. 166
- D(E_F): 1.5 states/eV/f.u.
- Formation energy: -144 meV per atom
- Polymorph energy (0 for the lowest one): 114.8 meV per atom

Cell lengths 3.7763, 3.7763, 11.2208 Å; angles 80.31, 80.31, 60.00 degrees
Last column: nearest neighbours and their distance in Å.
Fractional coordinates of all 4 atoms:
Lu (0.0000, 0.0000, 0.0000)  6 Pb 3.27
Pb (0.7406, 0.7406, 0.7783)  3 Lu 3.27
Pb (0.2594, 0.2594, 0.2217)  3 Lu 3.27
Rb (0.5000, 0.5000, 0.5000)  6 Pb 3.76, 6 Rb 3.78

---

[5]
The following is a GGA-PBE calculation of crystalline Ce4PrN5 at its relaxed geometry, from the Alexandria database.

- SG: I4/mmm, No. 139
- D(E_F): 10.4 states/eV/f.u.

Cell lengths 3.6007, 3.6007, 12.9044 Å; angles 98.02, 98.02, 90.00 degrees
Last column: nearest neighbours and their distance in Å.
Fractional coordinates of all 10 atoms:
N (0.1030, 0.1030, 0.2060)  5 Ce 2.46-2.55, 1 Pr 2.61
N (0.5000, 0.5000, 0.0000)  4 Pr 2.55, 2 Ce 2.55
N (0.6998, 0.6998, 0.3996)  6 Ce 2.50-2.55
N (0.3002, 0.3002, 0.6004)  6 Ce 2.50-2.55
N (0.8970, 0.8970, 0.7940)  5 Ce 2.46-2.55, 1 Pr 2.61
Ce (0.3991, 0.3991, 0.7982)  6 N 2.50-2.55
Ce (0.7996, 0.7996, 0.5992)  6 N 2.46-2.55
Ce (0.6009, 0.6009, 0.2018)  6 N 2.50-2.55
Ce (0.2004, 0.2004, 0.4008)  6 N 2.46-2.55
Pr (0.0000, 0.0000, 0.0000)  6 N 2.55-2.61

---

[6]
The following is a GGA-PBE calculation of crystalline CeUTiO6 at its relaxed geometry, from the Alexandria database.

- SG: P-31c, No. 163
- D(E_F): 7.0 states/eV/f.u.

Cell lengths 5.4900, 5.4900, 9.9205 Å; angles 90.00, 90.00, 120.00 degrees
Last column: nearest neighbours and their distance in Å.
Fractional coordinates of all 18 atoms:
O (0.3670, 0.0206, 0.6400)  1 Ti 2.01, 1 U 2.15
O (0.3464, 0.9794, 0.1400)  1 Ti 2.01, 1 U 2.15
O (0.6536, 0.0206, 0.8600)  1 Ti 2.01, 1 U 2.15
O (0.9794, 0.3464, 0.6400)  1 Ti 2.01, 1 U 2.15
O (0.0206, 0.6536, 0.3600)  1 Ti 2.01, 1 U 2.15
O (0.3670, 0.3464, 0.8600)  1 Ti 2.01, 1 U 2.15
O (0.6330, 0.9794, 0.3600)  1 Ti 2.01, 1 U 2.15
O (0.3464, 0.3670, 0.3600)  1 Ti 2.01, 1 U 2.15
O (0.6536, 0.6330, 0.6400)  1 Ti 2.01, 1 U 2.15
O (0.9794, 0.6330, 0.8600)  1 Ti 2.01, 1 U 2.15
O (0.6330, 0.6536, 0.1400)  1 Ti 2.01, 1 U 2.15
O (0.0206, 0.3670, 0.1400)  1 Ti 2.01, 1 U 2.15
U (0.6667, 0.3333, 0.2500)  6 O 2.15
U (0.3333, 0.6667, 0.7500)  6 O 2.15
Ti (0.3333, 0.6667, 0.2500)  6 O 2.01
Ti (0.6667, 0.3333, 0.7500)  6 O 2.01
Ce (0.0000, 0.0000, 0.5000)  6 O 2.40
Ce (0.0000, 0.0000, 0.0000)  6 O 2.40

---

[7]
The following is a GGA-PBE calculation of crystalline RbHoZnTe3 at its relaxed geometry, from the Alexandria database.

- SG: P2_1/m, No. 11

Cell lengths 4.4132, 9.9782, 10.6931 Å; angles 110.21, 90.00, 90.00 degrees
Last column: nearest neighbours and their distance in Å.
Fractional coordinates of all 12 atoms:
Zn (0.2500, 0.0830, 0.6073)  4 Te 2.64-2.77
Zn (0.7500, 0.9170, 0.3927)  4 Te 2.64-2.77
Te (0.7500, 0.2064, 0.5404)  3 Zn 2.74-2.77
Te (0.2500, 0.1115, 0.8621)  1 Zn 2.64
Te (0.7500, 0.8885, 0.1379)  1 Zn 2.64
Te (0.2500, 0.5316, 0.8363)  3 Ho 3.04-3.07
Te (0.2500, 0.7936, 0.4596)  3 Zn 2.74-2.77
Te (0.7500, 0.4684, 0.1637)  3 Ho 3.04-3.07
Rb (0.2500, 0.2129, 0.2424)  7 Te 3.68-3.90
Rb (0.7500, 0.7871, 0.7576)  7 Te 3.68-3.90
Ho (0.2500, 0.6708, 0.1381)  6 Te 3.04-3.23
Ho (0.7500, 0.3292, 0.8619)  6 Te 3.04-3.23

---

[8]
The following is a GGA-PBE calculation of crystalline Ba5Cl5O2 at its relaxed geometry, from the Alexandria database.

- SG: C2/m, No. 12
- D(E_F): 1.6 states/eV/f.u.

Cell lengths 4.1801, 7.6895, 12.1361 Å; angles 105.55, 90.00, 105.77 degrees
Last column: nearest neighbours and their distance in Å.
Fractional coordinates of all 12 atoms:
Ba (0.0000, 0.0000, 0.0000)  2 O 2.67
Ba (0.3534, 0.7069, 0.2034)  2 O 2.62
Ba (0.9001, 0.8002, 0.6290)  1 O 2.49
Ba (0.0999, 0.1998, 0.3710)  1 O 2.49
Ba (0.6466, 0.2931, 0.7966)  2 O 2.62
O (0.0409, 0.0818, 0.7991)  4 Ba 2.49-2.67
O (0.9591, 0.9182, 0.2009)  4 Ba 2.49-2.67
Cl (0.2333, 0.4666, 0.6355)  5 Ba 3.25-3.35, 1 Cl 3.49
Cl (0.7667, 0.5334, 0.3645)  5 Ba 3.25-3.35, 1 Cl 3.49
Cl (0.3307, 0.6614, 0.9321)  5 Ba 3.19-3.46, 1 Cl 3.49
Cl (0.5000, 0.0000, 0.5000)  4 Ba 3.21
Cl (0.6693, 0.3386, 0.0679)  5 Ba 3.19-3.46, 1 Cl 3.49

---

[9]
The following is a GGA-PBE calculation of crystalline Nb5V2Sn at its relaxed geometry, from the Alexandria database.

- SG: I4/mcm, No. 140
- D(E_F): 7.9 states/eV/f.u.
- Formation energy: 179 meV per atom

Cell lengths 6.6937, 6.6937, 8.0724 Å; angles 114.49, 114.49, 90.00 degrees
Last column: nearest neighbours and their distance in Å.
Fractional coordinates of all 16 atoms:
Nb (0.2961, 0.7961, 0.2892)  3 V 2.63-2.80, 1 Nb 2.87, 2 Sn 2.89
Nb (0.5069, 0.7039, 0.7108)  3 V 2.63-2.80, 1 Nb 2.87, 2 Sn 2.89
Nb (0.2039, 0.0069, 0.7108)  3 V 2.63-2.80, 1 Nb 2.87, 2 Sn 2.89
Nb (0.7961, 0.9931, 0.2892)  3 V 2.63-2.80, 1 Nb 2.87, 2 Sn 2.89
Nb (0.7039, 0.2039, 0.7108)  3 V 2.63-2.80, 1 Nb 2.87, 2 Sn 2.89
Nb (0.0000, 0.0000, 0.0000)  4 V 2.53
Nb (0.5000, 0.5000, 0.0000)  4 V 2.53
Nb (0.4931, 0.2961, 0.2892)  3 V 2.63-2.80, 1 Nb 2.87, 2 Sn 2.89
Nb (0.0069, 0.5069, 0.7108)  3 V 2.63-2.80, 1 Nb 2.87, 2 Sn 2.89
Nb (0.9931, 0.4931, 0.2892)  3 V 2.63-2.80, 1 Nb 2.87, 2 Sn 2.89
V (0.3439, 0.8439, 0.0000)  8 Nb 2.53-2.80
V (0.8439, 0.6561, 0.0000)  8 Nb 2.53-2.80
V (0.6561, 0.1561, 0.0000)  8 Nb 2.53-2.80
V (0.1561, 0.3439, 0.0000)  8 Nb 2.53-2.80
Sn (0.2500, 0.2500, 0.5000)  8 Nb 2.89
Sn (0.7500, 0.7500, 0.5000)  8 Nb 2.89

---

[10]
The following is a GGA-PBE calculation of crystalline TmMgBi2 at its relaxed geometry, from the Alexandria database.

- SG: R-3m, No. 166
- D(E_F): 2.9 states/eV/f.u.
- Formation energy: -351 meV per atom
- Polymorph energy (0 for the lowest one): 49.5 meV per atom

Cell lengths 4.4041, 4.4041, 7.6105 Å; angles 73.18, 73.18, 60.00 degrees
Last column: nearest neighbours and their distance in Å.
Fractional coordinates of all 4 atoms:
Tm (0.5000, 0.5000, 0.5000)  6 Bi 3.15
Bi (0.7472, 0.7472, 0.7585)  3 Mg 3.08, 3 Tm 3.15
Bi (0.2528, 0.2528, 0.2415)  3 Mg 3.08, 3 Tm 3.15
Mg (0.0000, 0.0000, 0.0000)  6 Bi 3.08

---

[11]
The following is a GGA-PBE calculation of crystalline Dy3Ho5Tm4 at its relaxed geometry, from the Alexandria database.

- SG: C2/m, No. 12
- D(E_F): 19.4 states/eV/f.u.
- Formation energy: 254 meV per atom
- Polymorph energy (0 for the lowest one): 231.8 meV per atom

Cell lengths 5.7915, 8.4444, 9.4980 Å; angles 105.97, 72.25, 69.95 degrees
Last column: nearest neighbours and their distance in Å.
Fractional coordinates of all 12 atoms:
Ho (0.7866, 0.5401, 0.8867)  4 Dy 3.15-3.39, 3 Tm 3.38-3.50
Ho (0.3751, 0.0506, 0.1993)  2 Dy 3.21-3.45, 1 Ho 3.34, 2 Tm 3.56
Ho (0.2134, 0.4599, 0.1133)  4 Dy 3.15-3.39, 3 Tm 3.38-3.50
Ho (0.6249, 0.9494, 0.8007)  2 Dy 3.21-3.45, 1 Ho 3.34, 2 Tm 3.56
Ho (0.5000, 0.5000, 0.5000)  4 Dy 2.90-3.02
Dy (0.0000, 0.5000, 0.5000)  2 Ho 2.90
Dy (0.4781, 0.3135, 0.7303)  5 Ho 3.02-3.39, 2 Tm 3.26-3.36
Dy (0.5219, 0.6865, 0.2697)  5 Ho 3.02-3.39, 2 Tm 3.26-3.36
Tm (0.1646, 0.0483, 0.6224)  3 Dy 3.26-3.47, 3 Tm 3.53-3.60, 3 Ho 3.56-3.61
Tm (0.8590, 0.2213, 0.0606)  1 Tm 3.20, 1 Dy 3.36, 3 Ho 3.38-3.50
Tm (0.1410, 0.7787, 0.9394)  1 Tm 3.20, 1 Dy 3.36, 3 Ho 3.38-3.50
Tm (0.8354, 0.9517, 0.3776)  3 Dy 3.26-3.47, 3 Tm 3.53-3.60, 3 Ho 3.56-3.61

---

[12]
The following is a GGA-PBE calculation of crystalline PrNdLuSc at its relaxed geometry, from the Alexandria database.

- SG: F-43m, No. 216
- D(E_F): 6.3 states/eV/f.u.
- Formation energy: 82 meV per atom

Cell lengths 5.6130, 5.6130, 5.6130 Å; angles 60.00, 60.00, 60.00 degrees
Last column: nearest neighbours and their distance in Å.
Fractional coordinates of all 4 atoms:
Pr (0.2500, 0.2500, 0.2500)  4 Sc 3.44, 4 Lu 3.44
Nd (0.7500, 0.7500, 0.7500)  4 Sc 3.44, 4 Lu 3.44
Sc (0.0000, 0.0000, 0.0000)  4 Nd 3.44, 4 Pr 3.44
Lu (0.5000, 0.5000, 0.5000)  4 Nd 3.44, 4 Pr 3.44

---

Electronic total energy, record by record: -51.49; -56.99; -19.19; -13.48; -84.67; -167.57; -45.24; -57.60; -142.31; -15.23; -51.54; -20.07 eV per cell